This record from Alexandria via LeMat-Bulk describes crystalline MoOsPb2 at its relaxed geometry. The functional is GGA-PBEsol.

a = 3.2469 Å, b = 4.4772 Å, c = 5.3334 Å
α = 90.00°, β = 90.00°, γ = 90.00°
Sites, in units of the cell vectors:
Mo  0.0000  0.0000  0.0000
Os  0.5000  0.0000  0.5000
Pb  0.0000  0.5000  0.5000
Pb  0.5000  0.5000  0.0000

## Properties
- Formation enthalpy at 0 K: 1.10 eV per atom
- Energy relative to the lowest polymorph listed for this composition: 501 meV per atom
- Size of the total moment: 0.29 μB/f.u.
- Mass density: 15.0 g/cm³
- Crystal system: orthorhombic